Arrangement A

Density functional theory data (PBE) for a geometry-optimized TbCeMn structure.

a b c (Å): 4.0927 4.0927 4.7075
angles (deg): 90.00 90.00 120.00
Fractional coordinates of all 3 atoms:
Tb 0.0000 0.0000 0.0000
Ce 0.6667 0.3333 0.5000
Mn 0.3333 0.6667 0.5000

Output
Density ... 8.608 g/cm³
Space-group type ... No. 187

=====

Arrangement B

Density functional theory data (PBE) for a geometry-optimized TbCeMn structure.

a b c (Å): 3.4683 3.4683 11.9711
angles (deg): 90.00 90.00 90.00
Fractional coordinates of all 6 atoms:
Tb 0.0000 0.0000 0.0000
Tb 0.5000 0.5000 0.5000
Ce 0.0000 0.0000 0.7234
Ce 0.5000 0.5000 0.2234
Mn 0.0000 0.0000 0.3485
Mn 0.5000 0.5000 0.8485

Output
Density ... 8.164 g/cm³
Space-group type ... No. 107

=====

It is arrangement B that is the least stable of them.

=====

Arrangement A

Density functional theory data (PBE) for a geometry-optimized Tb2CeMn structure.

a b c (Å): 3.4931 3.4931 8.7733
angles (deg): 90.00 90.00 90.00
Fractional coordinates of all 4 atoms:
Tb 0.0000 0.0000 0.2013
Tb 0.0000 0.0000 0.7987
Ce 0.5000 0.5000 0.5000
Mn 0.5000 0.5000 0.0000

Output
Density ... 7.956 g/cm³
Space-group type ... No. 123

=====

Arrangement B

Density functional theory data (PBE) for a geometry-optimized Tb2CeMn structure.

a b c (Å): 3.3450 3.3450 33.8669
angles (deg): 90.00 90.00 120.00
Fractional coordinates of all 12 atoms:
Tb 0.0000 0.0000 0.0827
Tb 0.0000 0.0000 0.9173
Tb 0.3333 0.6667 0.5839
Tb 0.3333 0.6667 0.7494
Tb 0.6667 0.3333 0.2506
Tb 0.6667 0.3333 0.4161
Ce 0.0000 0.0000 0.5000
Ce 0.3333 0.6667 0.1667
Ce 0.6667 0.3333 0.8333
Mn 0.0000 0.0000 0.0000
Mn 0.3333 0.6667 0.6667
Mn 0.6667 0.3333 0.3333

Output
Density ... 7.786 g/cm³
Space-group type ... No. 166

=====

It is arrangement B that is the least stable of them.

=====

Arrangement A

Density functional theory data (PBE) for a geometry-optimized Ce2MnTc3 structure.

a b c (Å): 8.6904 5.6566 5.5199
angles (deg): 90.00 125.60 90.00
Fractional coordinates of all 12 atoms:
Ce 0.1151 0.0000 0.3675
Ce 0.3849 0.5000 0.6325
Ce 0.6151 0.5000 0.3675
Ce 0.8849 0.0000 0.6325
Mn 0.0000 0.5000 0.5000
Mn 0.5000 0.0000 0.5000
Tc 0.0000 0.5000 0.0000
Tc 0.2500 0.2500 0.0000
Tc 0.2500 0.7500 0.0000
Tc 0.5000 0.0000 0.0000
Tc 0.7500 0.2500 0.0000
Tc 0.7500 0.7500 0.0000

Output
Density ... 9.470 g/cm³
Space-group type ... No. 12

=====

Arrangement B

Density functional theory data (PBE) for a geometry-optimized Ce2MnTc3 structure.

a b c (Å): 5.2982 5.2982 9.0784
angles (deg): 90.00 90.00 120.00
Fractional coordinates of all 12 atoms:
Ce 0.3333 0.6667 0.0684
Ce 0.3333 0.6667 0.4316
Ce 0.6667 0.3333 0.5684
Ce 0.6667 0.3333 0.9316
Mn 0.0000 0.0000 0.0000
Mn 0.0000 0.0000 0.5000
Tc 0.1685 0.3371 0.7500
Tc 0.1685 0.8315 0.7500
Tc 0.3371 0.1685 0.2500
Tc 0.6629 0.8315 0.7500
Tc 0.8315 0.1685 0.2500
Tc 0.8315 0.6629 0.2500

Output
Density ... 9.468 g/cm³
Space-group type ... No. 194

=====

It is arrangement B that is the least stable of them.

=====

Arrangement A

Density functional theory data (PBE) for a geometry-optimized CeTi2Mn structure.

a b c (Å): 2.9239 2.9239 28.0417
angles (deg): 90.00 90.00 120.00
Fractional coordinates of all 12 atoms:
Ce 0.0000 0.0000 0.0000
Ce 0.3333 0.6667 0.6667
Ce 0.6667 0.3333 0.3333
Ti 0.0000 0.0000 0.1024
Ti 0.0000 0.0000 0.8976
Ti 0.3333 0.6667 0.5642
Ti 0.3333 0.6667 0.7691
Ti 0.6667 0.3333 0.2309
Ti 0.6667 0.3333 0.4358
Mn 0.0000 0.0000 0.5000
Mn 0.3333 0.6667 0.1667
Mn 0.6667 0.3333 0.8333

Output
Density ... 6.977 g/cm³
Space-group type ... No. 166

=====

Arrangement B

Density functional theory data (PBE) for a geometry-optimized CeTi2Mn structure.

a b c (Å): 3.0149 3.0149 7.7448
angles (deg): 90.00 90.00 90.00
Fractional coordinates of all 4 atoms:
Ce 0.0000 0.0000 0.0000
Ti 0.5000 0.5000 0.3186
Ti 0.5000 0.5000 0.6814
Mn 0.0000 0.0000 0.5000

Output
Density ... 6.859 g/cm³
Space-group type ... No. 123

=====

It is arrangement A that is the least stable of them.

=====

Arrangement A

Density functional theory data (PBE) for a geometry-optimized CeTm2Mn structure.

a b c (Å): 3.2959 3.2959 33.4222
angles (deg): 90.00 90.00 120.00
Fractional coordinates of all 12 atoms:
Ce 0.0000 0.0000 0.0000
Ce 0.3333 0.6667 0.6667
Ce 0.6667 0.3333 0.3333
Tm 0.0000 0.0000 0.4171
Tm 0.0000 0.0000 0.5829
Tm 0.3333 0.6667 0.0838
Tm 0.3333 0.6667 0.2495
Tm 0.6667 0.3333 0.7505
Tm 0.6667 0.3333 0.9162
Mn 0.0000 0.0000 0.5000
Mn 0.3333 0.6667 0.1667
Mn 0.6667 0.3333 0.8333

Output
Density ... 8.444 g/cm³
Space-group type ... No. 166

=====

Arrangement B

Density functional theory data (PBE) for a geometry-optimized CeTm2Mn structure.

a b c (Å): 3.4000 3.4000 8.8603
angles (deg): 90.00 90.00 90.00
Fractional coordinates of all 4 atoms:
Ce 0.0000 0.0000 0.0000
Tm 0.5000 0.5000 0.3045
Tm 0.5000 0.5000 0.6955
Mn 0.0000 0.0000 0.5000

Output
Density ... 8.640 g/cm³
Space-group type ... No. 123

=====

It is arrangement A that is the least stable of them.

=====

Arrangement A

Density functional theory data (PBE) for a geometry-optimized Ce2MnZn structure.

a b c (Å): 7.0936 7.0936 7.0936
angles (deg): 90.00 90.00 90.00
Fractional coordinates of all 16 atoms:
Ce 0.2500 0.2500 0.2500
Ce 0.2500 0.2500 0.7500
Ce 0.2500 0.7500 0.2500
Ce 0.2500 0.7500 0.7500
Ce 0.7500 0.2500 0.2500
Ce 0.7500 0.2500 0.7500
Ce 0.7500 0.7500 0.2500
Ce 0.7500 0.7500 0.7500
Mn 0.0000 0.0000 0.0000
Mn 0.0000 0.5000 0.5000
Mn 0.5000 0.0000 0.5000
Mn 0.5000 0.5000 0.0000
Zn 0.0000 0.0000 0.5000
Zn 0.0000 0.5000 0.0000
Zn 0.5000 0.0000 0.0000
Zn 0.5000 0.5000 0.5000

Output
Density ... 7.454 g/cm³
Space-group type ... No. 225

=====

Arrangement B

Density functional theory data (PBE) for a geometry-optimized Ce2MnZn structure.

a b c (Å): 4.4097 4.4097 4.3638
angles (deg): 90.00 90.00 90.00
Fractional coordinates of all 4 atoms:
Ce 0.0000 0.5000 0.0000
Ce 0.5000 0.0000 0.0000
Mn 0.0000 0.0000 0.5000
Zn 0.5000 0.5000 0.5000

Output
Density ... 7.839 g/cm³
Space-group type ... No. 123

=====

Arrangement C

Density functional theory data (PBE) for a geometry-optimized Ce2MnZn structure.

a b c (Å): 3.7250 3.7250 27.6053
angles (deg): 90.00 90.00 120.00
Fractional coordinates of all 12 atoms:
Ce 0.0000 0.0000 0.1140
Ce 0.0000 0.0000 0.8860
Ce 0.3333 0.6667 0.5527
Ce 0.3333 0.6667 0.7806
Ce 0.6667 0.3333 0.2194
Ce 0.6667 0.3333 0.4473
Mn 0.0000 0.0000 0.5000
Mn 0.3333 0.6667 0.1667
Mn 0.6667 0.3333 0.8333
Zn 0.0000 0.0000 0.0000
Zn 0.3333 0.6667 0.6667
Zn 0.6667 0.3333 0.3333

Output
Density ... 6.016 g/cm³
Space-group type ... No. 166

=====

It is arrangement C that is the least stable of them.

=====

Arrangement A

Density functional theory data (PBE) for a geometry-optimized CeMoN structure.

a b c (Å): 2.8615 2.8615 11.1558
angles (deg): 90.00 90.00 90.00
Fractional coordinates of all 6 atoms:
Ce 0.0000 0.0000 0.0000
Ce 0.5000 0.5000 0.5000
Mo 0.0000 0.0000 0.2733
Mo 0.5000 0.5000 0.7733
N 0.0000 0.0000 0.7061
N 0.5000 0.5000 0.2061

Output
Density ... 9.091 g/cm³
Space-group type ... No. 107

=====

Arrangement B

Density functional theory data (PBE) for a geometry-optimized CeMoN structure.

a b c (Å): 11.5857 3.0696 5.3035
angles (deg): 90.00 90.00 90.00
Fractional coordinates of all 12 atoms:
Ce 0.1412 0.0000 0.0000
Ce 0.1412 0.5000 0.5000
Ce 0.8588 0.0000 0.0000
Ce 0.8588 0.5000 0.5000
Mo 0.3876 0.0000 0.3452
Mo 0.3876 0.5000 0.8452
Mo 0.6124 0.0000 0.3452
Mo 0.6124 0.5000 0.8452
N 0.0000 0.0000 0.3330
N 0.0000 0.5000 0.8330
N 0.5000 0.0000 0.0115
N 0.5000 0.5000 0.5115

Output
Density ... 8.806 g/cm³
Space-group type ... No. 38

=====

It is arrangement A that is the least stable of them.

=====

Arrangement A

Density functional theory data (PBE) for a geometry-optimized Ce2MoN4 structure.

a b c (Å): 3.9429 3.9429 12.2332
angles (deg): 90.00 90.00 90.00
Fractional coordinates of all 14 atoms:
Ce 0.0000 0.0000 0.1446
Ce 0.0000 0.0000 0.8554
Ce 0.5000 0.5000 0.3554
Ce 0.5000 0.5000 0.6446
Mo 0.0000 0.0000 0.5000
Mo 0.5000 0.5000 0.0000
N 0.0000 0.0000 0.3225
N 0.0000 0.0000 0.6775
N 0.0000 0.5000 0.0000
N 0.0000 0.5000 0.5000
N 0.5000 0.0000 0.0000
N 0.5000 0.0000 0.5000
N 0.5000 0.5000 0.1775
N 0.5000 0.5000 0.8225

Output
Density ... 7.547 g/cm³
Space-group type ... No. 139

=====

Arrangement B

Density functional theory data (PBE) for a geometry-optimized Ce2MoN4 structure.

a b c (Å): 5.9740 5.8873 6.8050
angles (deg): 90.00 108.58 90.00
Fractional coordinates of all 14 atoms:
Ce 0.1851 0.2500 0.0360
Ce 0.2738 0.2500 0.5659
Ce 0.7262 0.7500 0.4341
Ce 0.8149 0.7500 0.9640
Mo 0.2677 0.7500 0.8081
Mo 0.7323 0.2500 0.1919
N 0.0509 0.5044 0.7530
N 0.0509 0.9956 0.7530
N 0.4563 0.7500 0.0852
N 0.4702 0.7500 0.6453
N 0.5298 0.2500 0.3547
N 0.5437 0.2500 0.9148
N 0.9491 0.0044 0.2470
N 0.9491 0.4956 0.2470

Output
Density ... 6.327 g/cm³
Space-group type ... No. 11

=====

Arrangement C

Density functional theory data (PBE) for a geometry-optimized Ce2MoN4 structure.

a b c (Å): 6.6647 6.6647 5.6887
angles (deg): 90.00 90.00 130.98
Fractional coordinates of all 14 atoms:
Ce 0.1438 0.8562 0.9804
Ce 0.3562 0.6438 0.4804
Ce 0.6438 0.3562 0.5196
Ce 0.8562 0.1438 0.0196
Mo 0.0000 0.0000 0.5000
Mo 0.5000 0.5000 0.0000
N 0.1783 0.8217 0.5641
N 0.2337 0.2663 0.7500
N 0.2663 0.2337 0.2500
N 0.3217 0.6783 0.0641
N 0.6783 0.3217 0.9359
N 0.7337 0.7663 0.7500
N 0.7663 0.7337 0.2500
N 0.8217 0.1783 0.4359

Output
Density ... 7.525 g/cm³
Space-group type ... No. 64

=====

It is arrangement B that is the least stable of them.